1.
The following is a DFT calculation (PBE-GGA) of a geometry-optimized Nb4VRe5 structure.

Computed properties:
Calculated volume (Å³/atom): 16.05
Energy of formation from the pure elements (kJ/mol of atoms): -26
Total DFT energy (no corrections) (eV per atom): -11.431
Space group: P4/mmm (123)

abc: 3.178 3.178 15.894
angles: 90.00 90.00 90.00
Sites, in units of the cell vectors:
Re  0.500  0.500  0.500
Re  0.500  0.500  0.093
Re  0.500  0.500  0.703
Re  0.500  0.500  0.297
Re  0.500  0.500  0.907
Nb  0.000  0.000  0.805
Nb  0.000  0.000  0.602
Nb  0.000  0.000  0.398
Nb  0.000  0.000  0.195
V  0.000  0.000  0.000



2.
The following is a DFT calculation (PBE-GGA) of a geometry-optimized Nd8Te4IrSe3 structure.

Computed properties:
Calculated volume (Å³/atom): 29.79
Formation energy from raw total energies (eV per atom): -1.51
Total DFT energy (no corrections) (eV per atom): -5.890
Space group: R-3m (166)

abc: 8.713 8.823 8.714
angles: 119.59 120.00 90.00
Sites, in units of the cell vectors:
Se  0.500  0.500  0.500
Se  0.500  0.500  0.000
Se  0.000  0.500  0.500
Nd  0.244  0.282  0.013
Nd  0.231  0.718  0.987
Nd  0.231  0.719  0.463
Nd  0.756  0.718  0.987
Nd  0.742  0.726  0.484
Nd  0.769  0.282  0.013
Nd  0.258  0.274  0.516
Nd  0.769  0.281  0.537
Te  0.000  0.000  0.000
Te  0.500  0.000  0.000
Te  0.000  0.000  0.500
Te  0.500  0.000  0.500
Ir  0.000  0.500  0.000



3.
The following is a DFT calculation (PBE-GGA) of a geometry-optimized LaTb2PmN4 structure.

Computed properties:
Calculated volume (Å³/atom): 16.38
Formation energy from raw total energies (eV per atom): -1.49
Total DFT energy (no corrections) (eV per atom): -8.024
Space group: P2/m (10)

abc: 3.588 6.218 6.227
angles: 109.39 90.00 90.00
Sites, in units of the cell vectors:
N  0.500  0.250  0.259
N  0.500  0.750  0.741
N  0.000  0.243  0.738
N  0.000  0.757  0.262
Tb  0.000  0.500  0.500
Tb  0.500  0.000  0.500
La  0.500  0.500  0.000
Pm  0.000  0.000  0.000



4.
The following is a DFT calculation (PBE-GGA) of a geometry-optimized ZnAuCl structure.

Computed properties:
Calculated volume (Å³/atom): 21.57
Formation energy from raw total energies (eV per atom): -0.45
Total DFT energy (no corrections) (eV per atom): -2.582
Space group: P2_1/m (11)

abc: 3.615 3.263 10.969
angles: 90.00 90.20 90.00
Sites, in units of the cell vectors:
Cl  0.246  0.250  0.650
Cl  0.754  0.750  0.350
Au  0.749  0.250  0.929
Au  0.251  0.750  0.071
Zn  0.752  0.250  0.199
Zn  0.248  0.750  0.801



Q: Which formula does entry 3 have?
A: LaTb2PmN4



Q: Among the records above, which one has the lowest total DFT energy (no corrections)?
A: Nb4VRe5